First-principles (PBE-GGA) data for a relaxed structure of Zr2TaRu, as listed in Alexandria via LeMat-Bulk.

Cell lengths 5.443, 5.384, 3.073 Å; angles 78.65, 79.92, 117.10 degrees
Fractional coordinates of all 4 atoms:
1 Ru 0.000 0.500 0.500
2 Ta 0.500 0.500 0.000
3 Zr 0.000 0.000 0.000
4 Zr 0.500 0.000 0.500

Computed properties:
As for the excess energy over the best structure of this formula in the dataset: 18.7 kJ per mole of atoms. The total energy is -0.35313 hartree per atom. The calculation puts the energy of formation from the pure elements at -53 meV per atom. Its spin magnetization is 0.0 μB/f.u. Its crystal system is monoclinic.

First-principles (PBE-GGA) data for a relaxed structure of BaScMo2, as listed in Alexandria via LeMat-Bulk.

Cell lengths 5.832, 5.832, 5.832 Å; angles 138.64, 138.64, 59.92 degrees
Fractional coordinates of all 4 atoms:
1 Ba 0.750 0.250 0.500
2 Mo 0.000 0.000 0.000
3 Mo 0.500 0.500 0.000
4 Sc 0.250 0.750 0.500

Computed properties:
As for the excess energy over the best structure of this formula in the dataset: 73.1 kJ per mole of atoms. The total energy is -0.23286 hartree per atom. The calculation puts the energy of formation from the pure elements at 1143 meV per atom. Its spin magnetization is 0.0 μB/f.u. Its crystal system is tetragonal.

First-principles (PBE-GGA) data for a relaxed structure of CoHgTe2, as listed in Alexandria via LeMat-Bulk.

Cell lengths 8.830, 8.830, 8.830 Å; angles 24.46, 24.46, 24.46 degrees
Fractional coordinates of all 4 atoms:
1 Te 0.969 0.969 0.969
2 Te 0.531 0.531 0.531
3 Co 0.250 0.250 0.250
4 Hg 0.750 0.750 0.750

Computed properties:
The total energy is -0.13044 hartree per atom. Its spin magnetization is 0.0 μB/f.u. The formation energy from raw total energies comes out at -0.51 eV/f.u. Its crystal system is trigonal.